Here is crystalline Pm3Y at its relaxed geometry from the Alexandria database. Energies are from GGA-PBEsol.

```
Pm3Y
1.0
5.736 0.000 0.000
0.000 7.181 0.001
0.000 -3.590 6.219
Y Pm
2 6
Direct
0.750 0.333 0.667
0.250 0.667 0.333
0.250 0.667 0.834
0.250 0.166 0.333
0.250 0.166 0.834
0.750 0.333 0.166
0.750 0.834 0.667
0.750 0.834 0.166
```

Output
Energy relative to the elements   0.09 eV/f.u.
Crystal system   hexagonal
DOS(E_F)   13.2 states/eV per cell
Total magnetic moment   0.00 μB per formula unit